1.
Density functional theory data (PBE) for crystalline MgMoAu2 at its relaxed geometry.

Lattice parameters (Å, degrees): 5.0118 5.0118 5.1118 98.57 98.57 33.03
Fractional positions:
Mg 0.0000 0.0000 0.0000
Mo 0.2463 0.2463 0.6934
Au 0.5011 0.5011 0.5058
Au 0.7465 0.7465 0.1932

Output
- calculated formation energy (meV/atom) = 53

=====

2.
Density functional theory data (PBE) for crystalline BaY2Tc at its relaxed geometry.

Lattice parameters (Å, degrees): 3.5429 3.5444 9.9819 90.00 90.05 90.00
Fractional positions:
Ba 0.0000 0.0000 0.0000
Y 0.4997 0.5000 0.3384
Y 0.5003 0.5000 0.6616
Tc 0.0000 0.0000 0.5000

Output
- calculated formation energy (meV/atom) = 105

=====

3.
Density functional theory data (PBE) for crystalline MnV12Ga6 at its relaxed geometry.

Lattice parameters (Å, degrees): 6.4194 6.4194 6.4194 89.86 89.86 89.86
Fractional positions:
Mn 0.0000 0.0000 0.0000
V 0.0601 0.1414 0.3721
V 0.1414 0.3721 0.0601
V 0.1936 0.4876 0.5677
V 0.3721 0.0601 0.1414
V 0.4323 0.8064 0.5124
V 0.4876 0.5677 0.1936
V 0.5124 0.4323 0.8064
V 0.5677 0.1936 0.4876
V 0.6279 0.9399 0.8586
V 0.8064 0.5124 0.4323
V 0.8586 0.6279 0.9399
V 0.9399 0.8586 0.6279
Ga 0.1196 0.7402 0.2682
Ga 0.2598 0.7318 0.8804
Ga 0.2682 0.1196 0.7402
Ga 0.7318 0.8804 0.2598
Ga 0.7402 0.2682 0.1196
Ga 0.8804 0.2598 0.7318

Output
- calculated formation energy (meV/atom) = -59

=====

4.
Density functional theory data (PBE) for crystalline CsMgHgCl6 at its relaxed geometry.

Lattice parameters (Å, degrees): 6.7742 6.7742 7.7449 90.15 90.15 120.41
Fractional positions:
Cs 0.0000 0.0000 0.0000
Mg 0.6654 0.3346 0.5000
Hg 0.3333 0.6667 0.5000
Cl 0.3912 0.3755 0.6939
Cl 0.3947 0.0153 0.3032
Cl 0.6223 0.0125 0.6918
Cl 0.6245 0.6088 0.3061
Cl 0.9847 0.6053 0.6968
Cl 0.9875 0.3777 0.3082

Output
- uncorrected formation energy (eV/atom) = -1.193

=====

5.
Density functional theory data (PBE) for crystalline Mg2TaW2 at its relaxed geometry.

Lattice parameters (Å, degrees): 7.5108 7.5108 7.5108 151.52 151.52 40.72
Fractional positions:
Mg 0.2500 0.7500 0.5000
Mg 0.7500 0.2500 0.5000
Ta 0.0000 0.0000 0.0000
W 0.4157 0.4157 0.0000
W 0.5843 0.5843 0.0000

Output
- calculated formation energy (meV/atom) = 805

=====

6.
Density functional theory data (PBE) for crystalline PmGa2Cu6 at its relaxed geometry.

Lattice parameters (Å, degrees): 4.1863 4.1863 7.8521 90.00 90.00 90.00
Fractional positions:
Pm 0.0000 0.0000 0.0000
Ga 0.5000 0.5000 0.1591
Ga 0.5000 0.5000 0.8409
Cu 0.0000 0.0000 0.5000
Cu 0.0000 0.5000 0.3231
Cu 0.0000 0.5000 0.6769
Cu 0.5000 0.0000 0.3231
Cu 0.5000 0.0000 0.6769
Cu 0.5000 0.5000 0.5000

Output
- calculated formation energy (meV/atom) = -213

=====

7.
Density functional theory data (PBE) for crystalline CrFe2Ru at its relaxed geometry.

Lattice parameters (Å, degrees): 4.4386 4.4386 4.4386 131.27 131.27 71.39
Fractional positions:
Cr 0.0000 0.0000 0.0000
Fe 0.2500 0.7500 0.5000
Fe 0.5000 0.5000 0.0000
Ru 0.7500 0.2500 0.5000

Output
- calculated formation energy (meV/atom) = 111

=====

8.
Density functional theory data (PBE) for crystalline CuPb4 at its relaxed geometry.

Lattice parameters (Å, degrees): 6.6070 6.6070 6.6070 93.80 93.80 150.17
Fractional positions:
Cu 0.0000 0.0000 0.0000
Pb 0.2371 0.4292 0.6663
Pb 0.4292 0.7629 0.1921
Pb 0.5708 0.2371 0.8079
Pb 0.7629 0.5708 0.3337

Output
- calculated formation energy (meV/atom) = 114